DFT (PBE) results for crystalline Zn5CdAu2 at its relaxed geometry.

Cell lengths 3.0871, 6.8651, 6.8651 Å; angles 78.69, 77.01, 77.01 degrees
Fractional positions:
Zn: 0.0000 0.5000 0.5000
Zn: 0.6330 0.5824 0.1517
Zn: 0.3670 0.4176 0.8483
Zn: 0.3670 0.8483 0.4176
Zn: 0.6330 0.1517 0.5824
Cd: 0.0000 0.0000 0.0000
Au: 0.7369 0.7631 0.7631
Au: 0.2631 0.2369 0.2369

DFT total energy: -1.831 eV per atom